The following is a GGA-PBE calculation of a relaxed structure of HgBi2Pt2, from the Alexandria database.

abc: 5.0648 5.0648 10.1286
angles: 90.00 90.00 90.00
With the nearest neighbours (Å) after each atom.
Space group I4/mmm (No. 139)
One atom of each set of equivalent atoms:
Hg: 0.0000 0.0000 0.0000  8 Bi 3.58, 10 Pt 3.76-3.81
Bi: 0.0000 0.5000 0.2500  4 Pt 2.82
Pt: 0.0000 0.0000 0.3714  1 Pt 2.60, 4 Bi 2.82

Summary:
Formation energy   0.031 eV/atom
Fermi-level density of states   5.0 states/eV per cell
ΔE to the lowest computed polymorph   0.203 eV per atom